No. 1
First-principles (PBEsol) data for MgSc3Hg after structural relaxation, as listed in the Alexandria database.

The structure belongs to space group Pm-3m (No. 221); the cell edges are 5.2623, 5.2623 and 5.2623 Å and the angles 90.00°, 90.00° and 90.00°. The asymmetric unit holds Mg at (0.0000, 0.0000, 0.0000), Sc at (0.0000, 0.5000, 0.5000) and Hg at (0.5000, 0.5000, 0.5000).

The value obtained for the volume is 29.1 Å³/atom. The formation energy is 319 meV/atom. For the energy, the calculation gives -4.101 eV per atom.

***

No. 2
First-principles (PBEsol) data for MgSc2Hg after structural relaxation, as listed in the Alexandria database.

The structure belongs to space group Pm (No. 6); the cell edges are 3.2964, 4.6610 and 5.8523 Å and the angles 90.00°, 103.28° and 90.00°. The asymmetric unit holds Mg at (0.0000, 0.0000, 0.0000), Sc at (0.2829, 0.0000, 0.5268), Sc at (0.6055, 0.5000, 0.2062) and Hg at (0.8837, 0.5000, 0.7178).

The value obtained for the volume is 21.9 Å³/atom. The formation energy is -243 meV/atom. For the energy, the calculation gives -4.116 eV per atom.

***

No. 3
First-principles (PBEsol) data for MgSc2Hg after structural relaxation, as listed in the Alexandria database.

The structure belongs to space group I4/mmm (No. 139); the cell edges are 4.4728, 4.4728 and 8.4729 Å and the angles 90.00°, 90.00° and 90.00°. The asymmetric unit holds Mg at (0.0000, 0.0000, 0.0000), Sc at (0.0000, 0.5000, 0.2500) and Hg at (0.0000, 0.0000, 0.5000).

The value obtained for the volume is 21.2 Å³/atom. The formation energy is -279 meV/atom. For the energy, the calculation gives -4.152 eV per atom.

***

No. 4
First-principles (PBEsol) data for MgSc2Hg after structural relaxation, as listed in the Alexandria database.

The structure belongs to space group P4/mmm (No. 123); the cell edges are 3.5593, 3.5593 and 6.7611 Å and the angles 90.00°, 90.00° and 90.00°. The asymmetric unit holds Mg at (0.0000, 0.0000, 0.0000), Sc at (0.5000, 0.5000, 0.2538) and Hg at (0.0000, 0.0000, 0.5000).

The value obtained for the volume is 21.4 Å³/atom. The formation energy is -301 meV/atom. For the energy, the calculation gives -4.175 eV per atom.

***

No. 5
First-principles (PBEsol) data for Mg4ScHg after structural relaxation, as listed in the Alexandria database.

The structure belongs to space group F-43m (No. 216); the cell edges are 8.1425, 8.1425 and 8.1425 Å and the angles 90.00°, 90.00° and 90.00°. The asymmetric unit holds Mg at (0.1244, 0.1244, 0.1244), Sc at (0.2500, 0.2500, 0.7500) and Hg at (0.0000, 0.0000, 0.5000).

The value obtained for the volume is 22.5 Å³/atom. The formation energy is 73 meV/atom. For the energy, the calculation gives -2.267 eV per atom.

***

No. 6
First-principles (PBEsol) data for MgHg2Se after structural relaxation, as listed in the Alexandria database.

The structure belongs to space group Pm (No. 6); the cell edges are 3.7126, 3.6936 and 7.7186 Å and the angles 90.00°, 102.76° and 90.00°. The asymmetric unit holds Mg at (0.0000, 0.0000, 0.0000), Hg at (0.1300, 0.5000, 0.4070), Hg at (0.7121, 0.0000, 0.6285) and Se at (0.5173, 0.5000, 0.0445).

The value obtained for the volume is 25.8 Å³/atom. For the energy, the calculation gives -2.074 eV per atom. The energy relative to the elements, uncorrected is -0.399 eV/atom.

***

Q: Which value of energy does entry 6 give?
A: -2.074 eV per atom

***

Q: Number 2 is which compound?
A: MgSc2Hg

***

Q: Which of these has the highest energy?
A: MgHg2Se